# 1
LiCoBr after structural relaxation. Source: Alexandria, functional PBE.

Calculated values
E_tot (eV per formula unit): -10.0
Formation energy (no corrections) (eV per atom): 0.24

Cell and atoms, written as POSCAR:
```
LiCoBr
1.0
-0.2291 -3.8810 -1.1528
0.8823 -2.9533 2.6350
-2.9515 -2.3742 1.4475
Co Li Br
1 1 1
Cartesian
-1.7237 -6.9064 2.1973
0.0000 0.0000 0.0000
-1.1491 -4.6042 1.4649
```


# 2
NdY2Cd4 after structural relaxation. Source: Alexandria, functional PBE.

Calculated values
Formation enthalpy at 0 K (eV/atom): -0.1650
E_tot (eV per formula unit): -22.5

Cell and atoms, written as POSCAR:
```
NdY2Cd4
1.0
5.1565 0.0000 -1.6437
-0.5240 5.1298 -1.6437
-0.3254 -0.3603 7.8892
Y Cd Nd
2 4 1
Cartesian
3.2629 3.6132 1.3259
1.0442 1.1563 3.2758
1.2579 4.2480 3.9461
4.0982 1.6831 3.9461
0.2090 3.0864 0.6555
3.0492 0.5215 0.6555
0.0000 0.0000 0.0000
```


# 3
Na6HgGe2 after structural relaxation. Source: Alexandria, functional PBE.

Calculated values
Formation enthalpy at 0 K (eV/atom): -0.0868
E_tot (eV per formula unit): -18.2

Cell and atoms, written as POSCAR:
```
Na6HgGe2
1.0
8.7666 -0.1259 -0.5075
-3.4380 8.0653 0.5075
-3.2836 -3.5540 7.3289
Na Ge Hg
12 4 2
Cartesian
5.0525 -1.0534 1.9774
2.5623 1.4744 1.3490
2.5220 4.0652 4.0154
-3.9563 2.6553 7.3698
6.0012 1.7301 -0.0409
4.9349 5.0095 1.3490
-0.5173 2.9109 5.9799
2.5938 0.5968 4.8440
-2.8899 -0.6241 5.9799
-3.0076 5.4388 5.3515
-0.4770 0.3201 3.3135
-0.5488 3.7886 2.4849
3.4623 -2.3238 4.3075
2.0206 -1.3562 2.5139
1.9339 4.4599 0.8515
0.1110 -0.0745 6.4774
0.0000 0.0000 0.0000
-3.3608 2.2556 3.9182
```


# 4
ReP2H after structural relaxation. Source: Alexandria, functional PBE.

Calculated values
E_tot (eV per formula unit): -24.5

Cell and atoms, written as POSCAR:
```
ReP2H
1.0
5.0050 0.0000 0.0000
0.0000 5.0050 0.0000
2.5025 2.5025 4.6782
H P Re
2 4 2
Cartesian
2.5025 2.5025 0.0000
2.5025 5.0050 2.3391
3.7538 4.0052 3.5086
1.5027 3.7538 1.1695
3.5023 1.2513 1.1695
6.2563 6.0049 3.5086
5.0050 2.5025 2.3391
0.0000 0.0000 0.0000
```


# 5
Tb6DyHo4 after structural relaxation. Source: Alexandria, functional PBE.

Calculated values
Formation enthalpy at 0 K (eV/atom): 0.3088
E_tot (eV per formula unit): -47.3

Cell and atoms, written as POSCAR:
```
Tb6DyHo4
1.0
6.5235 0.0000 0.0000
0.0000 6.5235 0.0000
-3.2618 -3.2618 8.5135
Tb Ho Dy
6 4 1
Cartesian
4.4833 2.0403 2.9653
3.2618 0.0000 0.0000
1.2215 1.2215 5.5482
-1.2215 -1.2215 5.5482
2.0403 4.4833 2.9653
0.0000 3.2618 0.0000
1.1706 1.1706 2.2310
5.3530 5.3530 2.2310
2.0912 -2.0912 6.2825
-2.0912 2.0912 6.2825
3.2618 3.2618 0.0000
```


# 6
Ba3Li3Tl after structural relaxation. Source: Alexandria, functional PBE.

Calculated values
Formation enthalpy at 0 K (eV/atom): -0.1081
E_tot (eV per formula unit): -14.6

Cell and atoms, written as POSCAR:
```
Ba3Li3Tl
1.0
-4.2810 -0.7136 -2.9668
-0.0581 -3.8228 5.6614
-7.3100 11.6001 7.7578
Ba Li Tl
6 6 2
Cartesian
-3.9038 -1.0470 5.8849
-7.7454 8.1107 4.5674
-5.3989 5.0215 6.5826
-7.5994 8.5134 8.9178
-6.2502 2.0422 3.8697
-4.0498 -1.4497 1.5345
-9.0775 5.5783 7.0988
-8.3706 2.6359 6.7865
-3.2786 4.4278 3.6659
-0.8208 0.5275 1.0575
-10.8284 6.5362 9.3948
-2.5717 1.4854 3.3535
-2.1405 -0.3568 -1.4834
-5.7955 5.4432 2.3955
```


Let's list DOS(E_F) in order: 4.53; 5.34; 5.45; 1.75; 14.70; 5.89 states/eV/f.u..